i | A plane-wave DFT calculation with PBE was carried out for a relaxed structure of Pm3NdPt.

Results
The size of the total moment comes out at 0.00 μB per cell. The density comes out at 8.388 g cm⁻³.

a b c (Å): 3.8806 6.4640 13.0002
angles (deg): 83.05 81.42 72.53
Last column: nearest neighbours and their distance in Å.
Fractional coordinates of all 10 atoms:
Pm 0.7625 0.7142 0.7609  2 Pt 3.05
Pm 0.4485 0.9558 0.1472  2 Pt 3.02
Pm 0.1111 0.1636 0.6142  2 Pt 2.95
Pm 0.4201 0.6317 0.5282  1 Pt 3.38, 7 Pm 3.54-3.64, 2 Nd 3.70
Pm 0.9884 0.1193 0.9040  2 Pt 2.92
Pm 0.7918 0.0347 0.3817  1 Pt 3.40, 3 Nd 3.55-3.58, 6 Pm 3.57-3.70
Pt 0.4532 0.3334 0.7603  6 Pm 2.92-3.05
Pt 0.7609 0.3312 0.1470  4 Nd 2.94-2.98, 2 Pm 3.02
Nd 0.2235 0.5506 0.0024  2 Pt 2.94
Nd 0.1009 0.5025 0.2956  2 Pt 2.98

ii | A plane-wave DFT calculation with PBE was carried out for a relaxed structure of Pm3NdPt.

Results
The size of the total moment comes out at 0.40 μB per cell. The density comes out at 7.168 g cm⁻³.

a b c (Å): 5.6397 5.6397 5.6397
angles (deg): 90.00 90.00 90.00
Last column: nearest neighbours and their distance in Å.
Fractional coordinates of all 5 atoms:
Pm 0.0000 0.5000 0.0000  2 Pt 2.82
Pm 0.0000 0.0000 0.5000  2 Pt 2.82
Pm 0.5000 0.0000 0.0000  2 Pt 2.82
Pt 0.0000 0.0000 0.0000  6 Pm 2.82
Nd 0.5000 0.5000 0.5000  12 Pm 3.99

Stability summary: most stable i, least stable ii.

i | A plane-wave DFT calculation with PBE was carried out for a relaxed structure of Pm2NdPt.

Results
The size of the total moment comes out at 0.00 μB per cell. The density comes out at 8.018 g cm⁻³.

a b c (Å): 4.0233 4.0233 9.5839
angles (deg): 77.88 77.88 60.00
Last column: nearest neighbours and their distance in Å.
Fractional coordinates of all 4 atoms:
Pt 0.6659 0.6659 0.0022  6 Pm 2.86-2.88
Pm 0.2725 0.2725 0.1825  3 Pt 2.86
Pm 0.0604 0.0604 0.8187  3 Pt 2.88
Nd 0.5012 0.5012 0.4965  6 Pm 3.73-3.79, 6 Nd 4.02

ii | A plane-wave DFT calculation with PBE was carried out for a relaxed structure of Pm2NdPt.

Results
The size of the total moment comes out at 0.00 μB per cell. The density comes out at 8.696 g cm⁻³.

a b c (Å): 6.6572 7.2381 9.9757
angles (deg): 90.00 90.00 90.00
Last column: nearest neighbours and their distance in Å.
Fractional coordinates of all 16 atoms:
Nd 0.6388 0.5262 0.2500  2 Pt 2.92-3.02
Nd 0.1388 0.9738 0.7500  2 Pt 2.92-3.02
Nd 0.8612 0.0262 0.2500  2 Pt 2.92-3.02
Nd 0.3612 0.4738 0.7500  2 Pt 2.92-3.02
Pt 0.0657 0.3838 0.2500  2 Nd 2.92-3.02, 4 Pm 2.93-2.96
Pt 0.5657 0.1162 0.7500  2 Nd 2.92-3.02, 4 Pm 2.93-2.96
Pt 0.4343 0.8838 0.2500  2 Nd 2.92-3.02, 4 Pm 2.93-2.96
Pt 0.9343 0.6162 0.7500  2 Nd 2.92-3.02, 4 Pm 2.93-2.96
Pm 0.1728 0.6783 0.4382  2 Pt 2.93-2.96
Pm 0.3272 0.1783 0.0618  2 Pt 2.93-2.96
Pm 0.8272 0.3217 0.9382  2 Pt 2.93-2.96
Pm 0.8272 0.3217 0.5618  2 Pt 2.93-2.96
Pm 0.1728 0.6783 0.0618  2 Pt 2.93-2.96
Pm 0.6728 0.8217 0.9382  2 Pt 2.93-2.96
Pm 0.3272 0.1783 0.4382  2 Pt 2.93-2.96
Pm 0.6728 0.8217 0.5618  2 Pt 2.93-2.96

iii | A plane-wave DFT calculation with PBE was carried out for a relaxed structure of Pm2NdPt.

Results
The size of the total moment comes out at 0.00 μB per cell. The density comes out at 8.112 g cm⁻³.

a b c (Å): 3.9215 3.9215 9.9341
angles (deg): 78.62 78.62 60.00
Last column: nearest neighbours and their distance in Å.
Fractional coordinates of all 4 atoms:
Pt 0.0000 0.0000 0.0000  6 Pm 2.88
Pm 0.7281 0.7281 0.8157  3 Pt 2.88
Pm 0.2719 0.2719 0.1843  3 Pt 2.88
Nd 0.5000 0.5000 0.5000  6 Pm 3.80, 6 Nd 3.92

Stability summary: most stable ii, least stable iii.

i | A plane-wave DFT calculation with PBE was carried out for a relaxed structure of Pm2NdPt.

Results
The size of the total moment comes out at 0.00 μB per cell. The density comes out at 8.812 g cm⁻³.

a b c (Å): 3.9198 6.4276 9.8847
angles (deg): 90.00 90.00 107.76
Last column: nearest neighbours and their distance in Å.
Fractional coordinates of all 8 atoms:
Pm 0.1376 0.2756 0.4365  2 Pt 2.93
Pm 0.8624 0.7244 0.5635  2 Pt 2.93
Pm 0.1376 0.2756 0.0635  2 Pt 2.93
Pm 0.8624 0.7244 0.9365  2 Pt 2.93
Nd 0.5754 0.1506 0.7500  2 Pt 3.06
Nd 0.4246 0.8494 0.2500  2 Pt 3.06
Pt 0.7322 0.4649 0.2500  4 Pm 2.93, 2 Nd 3.06
Pt 0.2678 0.5351 0.7500  4 Pm 2.93, 2 Nd 3.06

ii | A plane-wave DFT calculation with PBE was carried out for a relaxed structure of Pm2NdPt.

Results
The size of the total moment comes out at 0.00 μB per cell. The density comes out at 8.892 g cm⁻³.

a b c (Å): 3.6602 3.6602 8.7723
angles (deg): 90.00 90.00 90.00
Last column: nearest neighbours and their distance in Å.
Fractional coordinates of all 4 atoms:
Pm 0.0000 0.0000 0.8085  4 Pt 3.09, 1 Pm 3.36
Pm 0.0000 0.0000 0.1915  4 Pt 3.09, 1 Pm 3.36
Nd 0.5000 0.5000 0.5000  4 Nd 3.66, 8 Pm 3.74
Pt 0.5000 0.5000 0.0000  8 Pm 3.09

Stability summary: most stable i, least stable ii.

i | A plane-wave DFT calculation with PBE was carried out for a relaxed structure of Pm3NdPt2.

Results
The size of the total moment comes out at 0.00 μB per cell. The density comes out at 9.537 g cm⁻³.

a b c (Å): 5.3708 11.1625 7.5361
angles (deg): 128.28 90.00 103.92
Last column: nearest neighbours and their distance in Å.
Fractional coordinates of all 12 atoms:
Pm 0.3377 0.6753 0.6702  3 Pt 2.89-3.12
Pm 0.6058 0.2116 0.6919  2 Pt 2.84-3.03
Pm 0.3942 0.7884 0.3081  2 Pt 2.84-3.03
Pm 0.6623 0.3247 0.3298  3 Pt 2.89-3.12
Pm 0.0351 0.0703 0.2954  3 Pt 2.81-3.00
Pm 0.9649 0.9297 0.7046  3 Pt 2.81-3.00
Pt 0.5107 0.0214 0.8296  6 Pm 2.81-3.12, 1 Pt 2.89
Pt 0.4893 0.9786 0.1704  6 Pm 2.81-3.12, 1 Pt 2.89
Pt 0.7886 0.5771 0.2993  2 Pm 2.89-3.00, 3 Nd 2.91-3.15
Pt 0.2114 0.4229 0.7007  2 Pm 2.89-3.00, 3 Nd 2.91-3.15
Nd 0.8045 0.6089 0.9441  3 Pt 2.91-3.15
Nd 0.1955 0.3911 0.0559  3 Pt 2.91-3.15

ii | A plane-wave DFT calculation with PBE was carried out for a relaxed structure of Pm3NdPt2.

Results
The size of the total moment comes out at 0.00 μB per cell. The density comes out at 9.364 g cm⁻³.

a b c (Å): 6.9404 7.4162 7.9286
angles (deg): 105.48 90.00 117.90
Last column: nearest neighbours and their distance in Å.
Fractional coordinates of all 12 atoms:
Pt 0.3767 0.7531 0.4383  4 Pm 2.83-3.02, 2 Nd 3.04, 1 Pt 3.09
Pt 0.6236 0.2469 0.0617  4 Pm 2.83-3.02, 2 Nd 3.04, 1 Pt 3.09
Pt 0.3764 0.7531 0.9383  4 Pm 2.83-3.02, 2 Nd 3.04, 1 Pt 3.09
Pt 0.6232 0.2469 0.5617  4 Pm 2.83-3.02, 2 Nd 3.04, 1 Pt 3.09
Nd 0.7474 0.0000 0.7500  4 Pt 3.04, 1 Pm 3.40
Nd 0.2526 0.0000 0.2500  4 Pt 3.04, 1 Pm 3.40
Pm 0.7856 0.5705 0.3927  2 Pt 2.83
Pm 0.2144 0.4295 0.6073  2 Pt 2.83
Pm 0.7422 0.0000 0.2500  4 Pt 3.02
Pm 0.2152 0.4295 0.1073  2 Pt 2.83
Pm 0.7848 0.5705 0.8927  2 Pt 2.83
Pm 0.2578 0.0000 0.7500  4 Pt 3.02

Stability summary: most stable ii, least stable i.

i | A plane-wave DFT calculation with PBE was carried out for a relaxed structure of Pm3Nd2Pt4.

Results
The size of the total moment comes out at 0.00 μB per cell. The density comes out at 10.887 g cm⁻³.

a b c (Å): 8.0616 7.7321 7.7546
angles (deg): 90.00 90.00 108.37
Last column: nearest neighbours and their distance in Å.
Fractional coordinates of all 18 atoms:
Pm 0.7491 0.7588 0.3337  6 Pt 2.90-3.10
Pm 0.7509 0.2412 0.8337  6 Pt 2.90-3.10
Pm 0.5000 0.5000 0.0000  6 Pt 2.99-3.20
Pm 0.0000 0.5000 0.5000  6 Pt 2.99-3.20
Pm 0.2509 0.2412 0.6663  6 Pt 2.90-3.10
Pm 0.2491 0.7588 0.1663  6 Pt 2.90-3.10
Pt 0.8742 0.4953 0.1312  1 Pt 2.86, 5 Pm 2.99-3.20, 1 Nd 3.03
Pt 0.3703 0.0940 0.9692  4 Pm 2.90-3.10, 1 Pt 2.94, 2 Nd 3.08-3.23
Pt 0.8703 0.0940 0.5308  4 Pm 2.90-3.10, 1 Pt 2.94, 2 Nd 3.08-3.23
Pt 0.3742 0.4953 0.3688  1 Pt 2.86, 5 Pm 2.99-3.20, 1 Nd 3.03
Pt 0.6258 0.5047 0.6312  1 Pt 2.86, 5 Pm 2.99-3.20, 1 Nd 3.03
Pt 0.1258 0.5047 0.8688  1 Pt 2.86, 5 Pm 2.99-3.20, 1 Nd 3.03
Pt 0.1297 0.9060 0.4692  4 Pm 2.90-3.10, 1 Pt 2.94, 2 Nd 3.08-3.23
Pt 0.6297 0.9060 0.0308  4 Pm 2.90-3.10, 1 Pt 2.94, 2 Nd 3.08-3.23
Nd 0.4063 0.7980 0.6792  6 Pt 3.03-3.31
Nd 0.9063 0.7980 0.8208  6 Pt 3.03-3.31
Nd 0.0937 0.2020 0.1792  6 Pt 3.03-3.31
Nd 0.5937 0.2020 0.3208  6 Pt 3.03-3.31

ii | A plane-wave DFT calculation with PBE was carried out for a relaxed structure of Pm3Nd2Pt4.

Results
The size of the total moment comes out at 0.00 μB per cell. The density comes out at 10.431 g cm⁻³.

a b c (Å): 7.7135 7.9511 8.7075
angles (deg): 90.00 116.29 90.00
Last column: nearest neighbours and their distance in Å.
Fractional coordinates of all 18 atoms:
Pm 0.9560 0.2500 0.4119  5 Pt 2.86-3.06
Pm 0.4560 0.2500 0.4119  5 Pt 2.86-3.06
Pm 0.5440 0.7500 0.5881  5 Pt 2.86-3.06
Pm 0.0000 0.0000 0.0000  4 Pt 2.79
Pm 0.0440 0.7500 0.5881  5 Pt 2.86-3.06
Pm 0.5000 0.5000 0.0000  4 Pt 2.79
Nd 0.3977 0.0994 0.7953  4 Pt 2.99-3.30
Nd 0.8977 0.4006 0.7953  4 Pt 2.99-3.30
Nd 0.1023 0.5994 0.2047  4 Pt 2.99-3.30
Nd 0.6023 0.9006 0.2047  4 Pt 2.99-3.30
Pt 0.7272 0.7500 0.9544  3 Pm 2.79-2.86, 2 Nd 2.99
Pt 0.2272 0.7500 0.9544  3 Pm 2.79-2.86, 2 Nd 2.99
Pt 0.7004 0.5488 0.4008  5 Pm 2.90-3.15, 1 Nd 3.19
Pt 0.2004 0.9512 0.4008  5 Pm 2.90-3.15, 1 Nd 3.19
Pt 0.2728 0.2500 0.0456  3 Pm 2.79-2.86, 2 Nd 2.99
Pt 0.7728 0.2500 0.0456  3 Pm 2.79-2.86, 2 Nd 2.99
Pt 0.2996 0.4512 0.5992  5 Pm 2.90-3.15, 1 Nd 3.19
Pt 0.7996 0.0488 0.5992  5 Pm 2.90-3.15, 1 Nd 3.19

Stability summary: most stable i, least stable ii.